(1)
The following is a PBEsol calculation of an optimized crystal structure of Sr2TlCl, from the Alexandria database.

a = 4.114 Å, b = 3.825 Å, c = 8.553 Å
α = 90.00°, β = 90.06°, γ = 90.00°
Positions (direct):
1 Sr 0.001 0.000 0.231
2 Sr 0.999 0.000 0.769
3 Tl 0.500 0.500 0.000
4 Cl 0.000 0.500 0.500

Values from the calculation:
SG	P2/m, No. 10
E above lowest polymorph	0.0000	eV/atom
E_form (uncorrected)	-1.106	eV per atom

***

(2)
The following is a PBEsol calculation of an optimized crystal structure of Zr3N4, from the Alexandria database.

a = 9.664 Å, b = 3.267 Å, c = 10.775 Å
α = 90.00°, β = 90.00°, γ = 90.00°
Positions (direct):
1 Zr 0.069 0.250 0.123
2 Zr 0.108 0.250 0.593
3 Zr 0.232 0.250 0.851
4 Zr 0.268 0.750 0.351
5 Zr 0.392 0.750 0.093
6 Zr 0.431 0.750 0.623
7 Zr 0.569 0.250 0.377
8 Zr 0.608 0.250 0.907
9 Zr 0.732 0.250 0.649
10 Zr 0.768 0.750 0.149
11 Zr 0.892 0.750 0.407
12 Zr 0.931 0.750 0.877
13 N 0.004 0.250 0.774
14 N 0.103 0.750 0.472
15 N 0.144 0.750 0.981
16 N 0.235 0.750 0.713
17 N 0.265 0.250 0.213
18 N 0.356 0.250 0.481
19 N 0.397 0.250 0.972
20 N 0.496 0.750 0.274
21 N 0.504 0.250 0.726
22 N 0.603 0.750 0.028
23 N 0.644 0.750 0.519
24 N 0.735 0.750 0.787
25 N 0.765 0.250 0.287
26 N 0.856 0.250 0.019
27 N 0.897 0.250 0.528
28 N 0.996 0.750 0.226

Values from the calculation:
SG	Pnma, No. 62
E above lowest polymorph	0.0000	eV/atom
E_form (uncorrected)	-1.728	eV per atom

***

(3)
The following is a PBEsol calculation of an optimized crystal structure of LaEuAg2, from the Alexandria database.

a = 5.268 Å, b = 5.268 Å, c = 5.268 Å
α = 60.00°, β = 60.00°, γ = 60.00°
Positions (direct):
1 La 0.000 0.000 0.000
2 Eu 0.500 0.500 0.500
3 Ag 0.250 0.250 0.250
4 Ag 0.750 0.750 0.750

Values from the calculation:
SG	Fm-3m, No. 225
energy of formation	-0.26	eV per atom

***

(4)
The following is a PBEsol calculation of an optimized crystal structure of EuTe2Pb, from the Alexandria database.

a = 4.547 Å, b = 4.547 Å, c = 6.456 Å
α = 90.00°, β = 90.00°, γ = 90.00°
Positions (direct):
1 Eu 0.000 0.000 0.000
2 Te 0.000 0.000 0.500
3 Te 0.500 0.500 0.000
4 Pb 0.500 0.500 0.500

Values from the calculation:
SG	P4/mmm, No. 123
E_form (uncorrected)	-1.015	eV per atom

***

(5)
The following is a PBEsol calculation of an optimized crystal structure of KZr3Ru, from the Alexandria database.

a = 5.090 Å, b = 5.090 Å, c = 5.090 Å
α = 90.00°, β = 90.00°, γ = 90.00°
Positions (direct):
1 K 0.000 0.000 0.000
2 Zr 0.000 0.500 0.500
3 Zr 0.500 0.000 0.500
4 Zr 0.500 0.500 0.000
5 Ru 0.500 0.500 0.500

Values from the calculation:
SG	Pm-3m, No. 221
energy of formation	0.53	eV per atom

***

(6)
The following is a PBEsol calculation of an optimized crystal structure of NiMoPt2, from the Alexandria database.

a = 4.705 Å, b = 4.705 Å, c = 4.705 Å
α = 132.69°, β = 132.69°, γ = 69.15°
Positions (direct):
1 Ni 0.000 0.000 0.000
2 Mo 0.500 0.500 0.000
3 Pt 0.250 0.750 0.500
4 Pt 0.750 0.250 0.500

Values from the calculation:
SG	I4/mmm, No. 139
E above lowest polymorph	0.0000	eV/atom
energy of formation	-0.28	eV per atom

***

(7)
The following is a PBEsol calculation of an optimized crystal structure of BaLaTe2N, from the Alexandria database.

a = 6.378 Å, b = 6.378 Å, c = 4.118 Å
α = 90.00°, β = 90.00°, γ = 90.00°
Positions (direct):
1 Ba 0.000 0.000 0.000
2 La 0.500 0.500 0.500
3 Te 0.000 0.500 0.500
4 Te 0.500 0.000 0.500
5 N 0.500 0.500 0.000

Values from the calculation:
SG	P4/mmm, No. 123
E_form (uncorrected)	-0.741	eV per atom

***

(8)
The following is a PBEsol calculation of an optimized crystal structure of NaCdCo2Pd, from the Alexandria database.

a = 4.656 Å, b = 4.656 Å, c = 4.878 Å
α = 90.00°, β = 90.00°, γ = 90.00°
Positions (direct):
1 Na 0.000 0.000 0.000
2 Cd 0.000 0.000 0.500
3 Co 0.000 0.500 0.500
4 Co 0.500 0.000 0.500
5 Pd 0.500 0.500 0.000

Values from the calculation:
SG	P4/mmm, No. 123
energy of formation	1.57	eV per atom

***

Looking at DFT total energy for the records above, in order, we have -12.74, -293.89, -23.57, -25.67, -35.91, -32.98, -26.78, -16.17 eV for the cell shown.
Looking at calculated density for the records above, in order, we have 5.121, 6.437, 8.139, 7.642, 5.211, 16.380, 5.407, 5.647 g cm⁻³.